No. 1
Compound: PmPuTlSb
Source: the Alexandria database
Functional: GGA-PBE
Structure: optimized geometry

E_form (uncorrected)   -0.394 eV per atom
Calculated total energy   -108.59 eV per cell
Symmetry   No. 216

a b c (Å): 7.668 7.668 7.668
angles (deg): 90.00 90.00 90.00
Positions (direct):
Pm 0.000 0.000 0.000
Pm 0.000 0.500 0.500
Pm 0.500 0.000 0.500
Pm 0.500 0.500 0.000
Pu 0.000 0.000 0.500
Pu 0.000 0.500 0.000
Pu 0.500 0.000 0.000
Pu 0.500 0.500 0.500
Tl 0.250 0.250 0.250
Tl 0.250 0.750 0.750
Tl 0.750 0.250 0.750
Tl 0.750 0.750 0.250
Sb 0.250 0.250 0.750
Sb 0.250 0.750 0.250
Sb 0.750 0.250 0.250
Sb 0.750 0.750 0.750

---

No. 2
Compound: Pm2TmPuSb4
Source: the Alexandria database
Functional: GGA-PBE
Structure: optimized geometry

E_form (uncorrected)   -0.998 eV per atom
Calculated total energy   -52.78 eV per cell
Symmetry   No. 10

a b c (Å): 7.676 4.446 7.681
angles (deg): 90.00 109.46 90.00
Positions (direct):
Pm 0.000 0.000 0.000
Pm 0.500 0.500 0.000
Tm 0.000 0.500 0.500
Pu 0.500 0.000 0.500
Sb 0.245 0.000 0.741
Sb 0.251 0.500 0.258
Sb 0.749 0.500 0.742
Sb 0.755 0.000 0.259

---

No. 3
Compound: PmPuU2Sb4
Source: the Alexandria database
Functional: GGA-PBE
Structure: optimized geometry

E_form (uncorrected)   -0.523 eV per atom
Calculated total energy   -62.33 eV per cell
Symmetry   No. 10

a b c (Å): 7.556 4.366 7.824
angles (deg): 90.00 108.77 90.00
Positions (direct):
Pm 0.000 0.000 0.000
Pu 0.000 0.500 0.500
U 0.500 0.000 0.500
U 0.500 0.500 0.000
Sb 0.255 0.000 0.749
Sb 0.256 0.500 0.253
Sb 0.744 0.500 0.747
Sb 0.745 0.000 0.251

---

No. 4
Compound: PmPuZnSb
Source: the Alexandria database
Functional: GGA-PBE
Structure: optimized geometry

E_form (uncorrected)   -0.420 eV per atom
Calculated total energy   -104.64 eV per cell
Symmetry   No. 216

a b c (Å): 7.462 7.462 7.462
angles (deg): 90.00 90.00 90.00
Positions (direct):
Pm 0.000 0.000 0.000
Pm 0.000 0.500 0.500
Pm 0.500 0.000 0.500
Pm 0.500 0.500 0.000
Pu 0.000 0.000 0.500
Pu 0.000 0.500 0.000
Pu 0.500 0.000 0.000
Pu 0.500 0.500 0.500
Zn 0.250 0.250 0.750
Zn 0.250 0.750 0.250
Zn 0.750 0.250 0.250
Zn 0.750 0.750 0.750
Sb 0.250 0.250 0.250
Sb 0.250 0.750 0.750
Sb 0.750 0.250 0.750
Sb 0.750 0.750 0.250

---

No. 5
Compound: PmPuSc2
Source: the Alexandria database
Functional: GGA-PBE
Structure: optimized geometry

Calculated total energy   -92.33 eV per cell
Symmetry   No. 166
Calculated formation energy   0.24 eV per atom

a b c (Å): 3.271 3.271 35.037
angles (deg): 90.00 90.00 120.00
Positions (direct):
Pm 0.000 0.000 0.000
Pm 0.333 0.667 0.667
Pm 0.667 0.333 0.333
Pu 0.000 0.000 0.500
Pu 0.333 0.667 0.167
Pu 0.667 0.333 0.833
Sc 0.000 0.000 0.093
Sc 0.000 0.000 0.907
Sc 0.333 0.667 0.574
Sc 0.333 0.667 0.759
Sc 0.667 0.333 0.241
Sc 0.667 0.333 0.426

---

No. 6
Compound: PmPuSc2
Source: the Alexandria database
Functional: GGA-PBE
Structure: optimized geometry

Calculated total energy   -124.38 eV per cell
Symmetry   No. 225
Calculated formation energy   0.16 eV per atom

a b c (Å): 7.597 7.597 7.597
angles (deg): 90.00 90.00 90.00
Positions (direct):
Pm 0.000 0.000 0.000
Pm 0.000 0.500 0.500
Pm 0.500 0.000 0.500
Pm 0.500 0.500 0.000
Pu 0.000 0.000 0.500
Pu 0.000 0.500 0.000
Pu 0.500 0.000 0.000
Pu 0.500 0.500 0.500
Sc 0.250 0.250 0.250
Sc 0.250 0.250 0.750
Sc 0.250 0.750 0.250
Sc 0.250 0.750 0.750
Sc 0.750 0.250 0.250
Sc 0.750 0.250 0.750
Sc 0.750 0.750 0.250
Sc 0.750 0.750 0.750

---

No. 7
Compound: PmPuSc
Source: the Alexandria database
Functional: GGA-PBE
Structure: optimized geometry

Calculated total energy   -99.44 eV per cell
Symmetry   No. 19
Calculated formation energy   0.18 eV per atom

a b c (Å): 3.268 3.502 27.163
angles (deg): 90.00 90.00 90.00
Positions (direct):
Pm 0.203 0.001 0.134
Pm 0.297 0.999 0.634
Pm 0.703 0.499 0.866
Pm 0.797 0.501 0.366
Pu 0.138 0.997 0.772
Pu 0.362 0.003 0.272
Pu 0.638 0.503 0.228
Pu 0.862 0.497 0.728
Sc 0.192 0.000 0.960
Sc 0.308 0.000 0.460
Sc 0.692 0.500 0.040
Sc 0.808 0.500 0.540

---

No. 8
Compound: PmPuSc
Source: the Alexandria database
Functional: GGA-PBE
Structure: optimized geometry

Calculated total energy   -50.03 eV per cell
Symmetry   No. 107
Calculated formation energy   0.13 eV per atom

a b c (Å): 3.452 3.452 14.256
angles (deg): 90.00 90.00 90.00
Positions (direct):
Pm 0.000 0.000 0.000
Pm 0.500 0.500 0.500
Pu 0.000 0.000 0.676
Pu 0.500 0.500 0.176
Sc 0.000 0.000 0.330
Sc 0.500 0.500 0.830

---

No. 9
Compound: PmPuSc2
Source: the Alexandria database
Functional: GGA-PBE
Structure: optimized geometry

Calculated total energy   -31.31 eV per cell
Symmetry   No. 123
Calculated formation energy   0.11 eV per atom

a b c (Å): 3.385 3.385 9.440
angles (deg): 90.00 90.00 90.00
Positions (direct):
Pm 0.000 0.000 0.000
Pu 0.000 0.000 0.500
Sc 0.500 0.500 0.263
Sc 0.500 0.500 0.737

---

No. 10
Compound: Pm2PuSc
Source: the Alexandria database
Functional: GGA-PBE
Structure: optimized geometry

Calculated total energy   -29.45 eV per cell
Symmetry   No. 123
Calculated formation energy   0.18 eV per atom

a b c (Å): 5.704 5.704 3.653
angles (deg): 90.00 90.00 90.00
Positions (direct):
Pm 0.000 0.500 0.000
Pm 0.500 0.000 0.000
Pu 0.000 0.000 0.500
Sc 0.500 0.500 0.500

---

No. 11
Compound: Pm2PuSc
Source: the Alexandria database
Functional: GGA-PBE
Structure: optimized geometry

Calculated total energy   -29.67 eV per cell
Symmetry   No. 123
Calculated formation energy   0.12 eV per atom

a b c (Å): 3.494 3.494 9.833
angles (deg): 90.00 90.00 90.00
Positions (direct):
Pm 0.000 0.000 0.242
Pm 0.000 0.000 0.758
Pu 0.500 0.500 0.500
Sc 0.500 0.500 0.000

---

No. 12
Compound: PmPuSc4
Source: the Alexandria database
Functional: GGA-PBE
Structure: optimized geometry

Calculated total energy   -87.92 eV per cell
Symmetry   No. 36
Calculated formation energy   0.07 eV per atom

a b c (Å): 8.865 8.865 10.796
angles (deg): 90.00 90.00 158.28
Positions (direct):
Pm 0.221 0.779 0.500
Pm 0.779 0.221 0.000
Pu 0.337 0.663 0.745
Pu 0.663 0.337 0.245
Sc 0.001 0.999 0.754
Sc 0.106 0.894 0.003
Sc 0.337 0.663 0.258
Sc 0.448 0.552 0.002
Sc 0.552 0.448 0.502
Sc 0.663 0.337 0.758
Sc 0.894 0.106 0.503
Sc 0.999 0.001 0.254

---

No. 13
Compound: PmPuSc2
Source: the Alexandria database
Functional: GGA-PBE
Structure: optimized geometry

Calculated total energy   -93.80 eV per cell
Symmetry   No. 160
Calculated formation energy   0.12 eV per atom

a b c (Å): 3.374 3.374 32.770
angles (deg): 90.00 90.00 120.00
Positions (direct):
Pm 0.000 0.000 0.000
Pm 0.333 0.667 0.667
Pm 0.667 0.333 0.333
Pu 0.000 0.000 0.166
Pu 0.333 0.667 0.832
Pu 0.667 0.333 0.499
Sc 0.000 0.000 0.579
Sc 0.000 0.000 0.753
Sc 0.333 0.667 0.246
Sc 0.333 0.667 0.419
Sc 0.667 0.333 0.086
Sc 0.667 0.333 0.913

---

No. 14
Compound: Pm2PuSc
Source: the Alexandria database
Functional: GGA-PBE
Structure: optimized geometry

Calculated total energy   -117.30 eV per cell
Symmetry   No. 225
Calculated formation energy   0.21 eV per atom

a b c (Å): 7.838 7.838 7.838
angles (deg): 90.00 90.00 90.00
Positions (direct):
Pm 0.250 0.250 0.250
Pm 0.250 0.250 0.750
Pm 0.250 0.750 0.250
Pm 0.250 0.750 0.750
Pm 0.750 0.250 0.250
Pm 0.750 0.250 0.750
Pm 0.750 0.750 0.250
Pm 0.750 0.750 0.750
Pu 0.000 0.000 0.000
Pu 0.000 0.500 0.500
Pu 0.500 0.000 0.500
Pu 0.500 0.500 0.000
Sc 0.000 0.000 0.500
Sc 0.000 0.500 0.000
Sc 0.500 0.000 0.000
Sc 0.500 0.500 0.500

---

No. 15
Compound: PmPuSc
Source: the Alexandria database
Functional: GGA-PBE
Structure: optimized geometry

Calculated total energy   -24.94 eV per cell
Symmetry   No. 156
Calculated formation energy   0.16 eV per atom

a b c (Å): 3.434 3.434 8.359
angles (deg): 90.00 90.00 120.00
Positions (direct):
Pm 0.000 0.000 0.000
Pu 0.667 0.333 0.349
Sc 0.333 0.667 0.666

---

No. 16
Compound: Pm2PuSc
Source: the Alexandria database
Functional: GGA-PBE
Structure: optimized geometry

Calculated total energy   -88.73 eV per cell
Symmetry   No. 160
Calculated formation energy   0.15 eV per atom

a b c (Å): 3.506 3.506 33.945
angles (deg): 90.00 90.00 120.00
Positions (direct):
Pm 0.000 0.000 0.000
Pm 0.000 0.000 0.162
Pm 0.333 0.667 0.667
Pm 0.333 0.667 0.829
Pm 0.667 0.333 0.333
Pm 0.667 0.333 0.495
Pu 0.000 0.000 0.581
Pu 0.333 0.667 0.248
Pu 0.667 0.333 0.915
Sc 0.000 0.000 0.415
Sc 0.333 0.667 0.081
Sc 0.667 0.333 0.748

---

No. 17
Compound: PmPuSc2
Source: the Alexandria database
Functional: GGA-PBE
Structure: optimized geometry

Calculated total energy   -31.14 eV per cell
Symmetry   No. 123
Calculated formation energy   0.15 eV per atom

a b c (Å): 4.825 4.825 4.665
angles (deg): 90.00 90.00 90.00
Positions (direct):
Pm 0.000 0.000 0.000
Pu 0.500 0.500 0.000
Sc 0.000 0.500 0.500
Sc 0.500 0.000 0.500

---

No. 18
Compound: PmPu2Sc3Se6
Source: the Alexandria database
Functional: GGA-PBE
Structure: optimized geometry

E_form (uncorrected)   -1.621 eV per atom
Calculated total energy   -92.77 eV per cell
Symmetry   No. 12

a b c (Å): 6.918 6.918 7.019
angles (deg): 99.46 99.46 120.06
Positions (direct):
Pm 0.000 0.000 0.000
Pu 0.333 0.667 0.000
Pu 0.667 0.333 0.000
Sc 0.165 0.835 0.500
Sc 0.500 0.500 0.500
Sc 0.835 0.165 0.500
Se 0.091 0.427 0.272
Se 0.247 0.247 0.729
Se 0.427 0.091 0.272
Se 0.573 0.909 0.728
Se 0.753 0.753 0.271
Se 0.909 0.573 0.728

---

No. 19
Compound: PmPuSc2Se4
Source: the Alexandria database
Functional: GGA-PBE
Structure: optimized geometry

E_form (uncorrected)   -1.644 eV per atom
Calculated total energy   -58.83 eV per cell
Symmetry   No. 10

a b c (Å): 6.951 3.986 7.011
angles (deg): 90.00 108.94 90.00
Positions (direct):
Pm 0.000 0.000 0.000
Pu 0.500 0.500 0.000
Sc 0.000 0.500 0.500
Sc 0.500 0.000 0.500
Se 0.245 0.000 0.728
Se 0.260 0.500 0.274
Se 0.740 0.500 0.726
Se 0.755 0.000 0.272

---

No. 20
Compound: Pm3Pu3ScSe8
Source: the Alexandria database
Functional: GGA-PBE
Structure: optimized geometry

E_form (uncorrected)   -1.715 eV per atom
Calculated total energy   -117.18 eV per cell
Symmetry   No. 166

a b c (Å): 8.272 8.272 8.272
angles (deg): 60.21 60.21 60.21
Positions (direct):
Pm 0.000 0.500 0.500
Pm 0.500 0.000 0.500
Pm 0.500 0.500 0.000
Pu 0.000 0.000 0.500
Pu 0.000 0.500 0.000
Pu 0.500 0.000 0.000
Sc 0.000 0.000 0.000
Se 0.238 0.760 0.760
Se 0.240 0.240 0.762
Se 0.240 0.762 0.240
Se 0.248 0.248 0.248
Se 0.752 0.752 0.752
Se 0.760 0.238 0.760
Se 0.760 0.760 0.238
Se 0.762 0.240 0.240

---

No. 21
Compound: Pm2Pu3ScSe6
Source: the Alexandria database
Functional: GGA-PBE
Structure: optimized geometry

E_form (uncorrected)   -1.641 eV per atom
Calculated total energy   -99.43 eV per cell
Symmetry   No. 12

a b c (Å): 9.198 9.198 8.251
angles (deg): 102.44 102.44 25.84
Positions (direct):
Pm 0.165 0.165 0.335
Pm 0.835 0.835 0.665
Pu 0.169 0.169 0.836
Pu 0.500 0.500 0.500
Pu 0.831 0.831 0.164
Sc 0.500 0.500 0.000
Se 0.002 0.002 0.765
Se 0.334 0.334 0.412
Se 0.339 0.339 0.922
Se 0.661 0.661 0.078
Se 0.666 0.666 0.588
Se 0.998 0.998 0.235

---

No. 22
Compound: TbPmPuSc
Source: the Alexandria database
Functional: GGA-PBE
Structure: optimized geometry

Calculated total energy   -116.95 eV per cell
Symmetry   No. 216
Calculated formation energy   0.20 eV per atom

a b c (Å): 7.784 7.784 7.784
angles (deg): 90.00 90.00 90.00
Positions (direct):
Tb 0.000 0.000 0.000
Tb 0.000 0.500 0.500
Tb 0.500 0.000 0.500
Tb 0.500 0.500 0.000
Pm 0.000 0.000 0.500
Pm 0.000 0.500 0.000
Pm 0.500 0.000 0.000
Pm 0.500 0.500 0.500
Pu 0.250 0.250 0.750
Pu 0.250 0.750 0.250
Pu 0.750 0.250 0.250
Pu 0.750 0.750 0.750
Sc 0.250 0.250 0.250
Sc 0.250 0.750 0.750
Sc 0.750 0.250 0.750
Sc 0.750 0.750 0.250

---

No. 23
Compound: Pm2Pu3ScTe6
Source: the Alexandria database
Functional: GGA-PBE
Structure: optimized geometry

E_form (uncorrected)   -1.206 eV per atom
Calculated total energy   -92.15 eV per cell
Symmetry   No. 12

a b c (Å): 9.858 9.858 8.839
angles (deg): 103.51 103.51 25.69
Positions (direct):
Pm 0.166 0.166 0.335
Pm 0.834 0.834 0.665
Pu 0.171 0.171 0.836
Pu 0.500 0.500 0.500
Pu 0.829 0.829 0.164
Sc 0.500 0.500 0.000
Te 0.003 0.003 0.765
Te 0.334 0.334 0.413
Te 0.340 0.340 0.922
Te 0.660 0.660 0.078
Te 0.666 0.666 0.587
Te 0.997 0.997 0.235

---

No. 24
Compound: Pm3Pu3ScTe8
Source: the Alexandria database
Functional: GGA-PBE
Structure: optimized geometry

E_form (uncorrected)   -1.269 eV per atom
Calculated total energy   -107.75 eV per cell
Symmetry   No. 166

a b c (Å): 8.860 8.860 8.860
angles (deg): 59.87 59.87 59.87
Positions (direct):
Pm 0.000 0.500 0.500
Pm 0.500 0.000 0.500
Pm 0.500 0.500 0.000
Pu 0.000 0.000 0.500
Pu 0.000 0.500 0.000
Pu 0.500 0.000 0.000
Sc 0.500 0.500 0.500
Te 0.249 0.249 0.249
Te 0.256 0.743 0.743
Te 0.257 0.257 0.744
Te 0.257 0.744 0.257
Te 0.743 0.256 0.743
Te 0.743 0.743 0.256
Te 0.744 0.257 0.257
Te 0.751 0.751 0.751

---

No. 25
Compound: PmYPuSc
Source: the Alexandria database
Functional: GGA-PBE
Structure: optimized geometry

Calculated total energy   -124.24 eV per cell
Symmetry   No. 216
Calculated formation energy   0.20 eV per atom

a b c (Å): 7.804 7.804 7.804
angles (deg): 90.00 90.00 90.00
Positions (direct):
Pm 0.000 0.000 0.000
Pm 0.000 0.500 0.500
Pm 0.500 0.000 0.500
Pm 0.500 0.500 0.000
Y 0.250 0.250 0.250
Y 0.250 0.750 0.750
Y 0.750 0.250 0.750
Y 0.750 0.750 0.250
Pu 0.000 0.000 0.500
Pu 0.000 0.500 0.000
Pu 0.500 0.000 0.000
Pu 0.500 0.500 0.500
Sc 0.250 0.250 0.750
Sc 0.250 0.750 0.250
Sc 0.750 0.250 0.250
Sc 0.750 0.750 0.750